DFT (PBE) results for an optimized crystal structure of Cd2FeRe.

As for the energy of formation from the pure elements: 2.43 eV/f.u. As for the distance to the lowest polymorph of the same formula: 362 meV/atom. The calculation puts the calculated density at 11.73 g cm⁻³.

The structure belongs to space group Immm (No. 71); the cell edges are 2.960, 4.660 and 9.587 Å and the angles 90.00°, 90.00° and 90.00°. The inequivalent atoms are Cd at (0.000, 0.000, 0.237), Fe at (0.000, 0.500, 0.500) and Re at (0.000, 0.500, 0.000).